{
  "formula": "Dy3CoO6",
  "functional": "PBE with a Hubbard U",
  "state": "relaxed",
  "lattice": [[-2.8534, 1.6091, 4.3577], [-6.0700, -1.1159, -3.5626], [1.2107, -6.2931, 3.1165]],
  "species": ["Dy", "Dy", "Dy", "Dy", "Dy", "Dy", "Co", "Co", "O", "O", "O", "O", "O", "O", "O", "O", "O", "O", "O", "O"],
  "frac_coords": [[0.4740, 0.9118, 0.7039], [0.9740, 0.7039, 0.9118], [0.4282, 0.3979, 0.6021], [0.9282, 0.6021, 0.3979], [0.9740, 0.0882, 0.2961], [0.4740, 0.2961, 0.0882], [0.0047, 0.1975, 0.8025], [0.5047, 0.8025, 0.1975], [0.2021, 0.6763, 0.6438], [0.7021, 0.6438, 0.6763], [0.1906, 0.4218, 0.8927], [0.6906, 0.8927, 0.4218], [0.1515, 0.0395, 0.9605], [0.6675, 0.2141, 0.7859], [0.1675, 0.7859, 0.2141], [0.6515, 0.9605, 0.0395], [0.1906, 0.1073, 0.5782], [0.6906, 0.5782, 0.1073], [0.2021, 0.3562, 0.3237], [0.7021, 0.3237, 0.3562]],
  "spacegroup": "No. 36",
  "crystal_system": "orthorhombic",
  "relative_energy_ev_per_atom": 0.000
}